1.
PBE Al3SiHg, optimized geometry; DOS at the Fermi energy = 4.10 states/eV per cell; ΔE to the lowest computed polymorph = 447 meV/atom; raw formation energy = 0.945 eV per atom
1.0
4.9864 0.0000 0.0000
0.0000 4.9864 0.0000
0.0000 0.0000 4.9864
Si Hg Al
1 1 3
Direct
0.5000 0.5000 0.5000 Si
0.0000 0.0000 0.0000 Hg
0.0000 0.5000 0.0000 Al
0.0000 0.0000 0.5000 Al
0.5000 0.0000 0.0000 Al


2.
PBE CeZrCuIr, optimized geometry; DOS at the Fermi energy = 5.58 states/eV per cell; energy relative to the elements = -353 meV per atom
1.0
4.8102 0.0000 0.0000
2.4051 4.1657 0.0000
2.4051 1.3886 3.9275
Ir Zr Ce Cu
1 1 1 1
Direct
0.2500 0.2500 0.2500 Ir
0.0000 0.0000 0.0000 Zr
0.5000 0.5000 0.5000 Ce
0.7500 0.7500 0.7500 Cu


3.
PBE Dy2ScNb, optimized geometry; DOS at the Fermi energy = 4.87 states/eV per cell; energy relative to the elements = 490 meV per atom
1.0
3.2275 0.0000 0.0000
1.6137 2.7951 0.0000
1.6137 0.9317 11.2768
Sc Nb Dy
1 1 2
Direct
0.5000 0.5000 0.5000 Sc
0.0000 0.0000 0.0000 Nb
0.0860 0.0860 0.7420 Dy
0.9140 0.9140 0.2580 Dy


4.
PBE Tb5Sm6Sc, optimized geometry; DOS at the Fermi energy = 14.86 states/eV per cell; energy relative to the elements = 24 meV per atom
1.0
11.7220 -1.2045 0.0000
1.7007 5.9565 0.0000
0.8504 2.9783 5.3631
Tb Sm Sc
5 6 1
Direct
0.5000 0.1665 0.6670 Tb
0.0000 0.3334 0.3332 Tb
0.5000 0.5000 0.0000 Tb
0.0000 0.6666 0.6668 Tb
0.5000 0.8335 0.3330 Tb
0.7528 0.0825 0.3304 Sm
0.2472 0.5871 0.3304 Sm
0.2476 0.2480 0.0000 Sm
0.7524 0.7520 0.0000 Sm
0.7528 0.4129 0.6696 Sm
0.2472 0.9175 0.6696 Sm
0.0000 0.0000 0.0000 Sc


5.
PBE Mn2TlPt2, optimized geometry; DOS at the Fermi energy = 4.65 states/eV per cell; ΔE to the lowest computed polymorph = 65 meV/atom; energy relative to the elements = -70 meV per atom
1.0
7.7343 0.0000 0.0000
0.0000 7.7343 0.0000
0.0000 0.0000 2.9250
Tl Mn Pt
2 4 4
Direct
0.0000 0.0000 0.0000 Tl
0.5000 0.5000 0.0000 Tl
0.3543 0.8543 0.0000 Mn
0.8543 0.6457 0.0000 Mn
0.6457 0.1457 0.0000 Mn
0.1457 0.3543 0.0000 Mn
0.1444 0.6444 0.5000 Pt
0.6444 0.8556 0.5000 Pt
0.8556 0.3556 0.5000 Pt
0.3556 0.1444 0.5000 Pt


6.
PBE CaCdTc2, optimized geometry; DOS at the Fermi energy = 8.00 states/eV per cell; energy relative to the elements = 1043 meV per atom
1.0
-2.5464 -6.2433 -4.1639
7.4501 -1.5750 -2.1946
2.7514 -5.4445 -1.0604
Ca Tc Cd
2 4 2
Direct
0.5000 0.5000 0.0000 Ca
0.2500 0.7500 0.5000 Ca
0.6540 0.1250 0.2500 Tc
0.0960 0.6250 0.2500 Tc
0.3750 0.3460 0.7500 Tc
0.8750 0.9040 0.7500 Tc
0.0000 0.0000 0.0000 Cd
0.7500 0.2500 0.5000 Cd


7.
PBE YMo2, optimized geometry; DOS at the Fermi energy = 16.90 states/eV per cell; energy relative to the elements = 437 meV per atom
1.0
4.2158 0.0011 -0.0005
0.0011 4.2161 -0.0004
-2.1100 -2.1100 14.9630
Y Mo
4 8
Direct
0.0814 0.0812 0.1628 Y
0.9188 0.9186 0.8373 Y
0.3311 0.8314 0.6627 Y
0.1686 0.6688 0.3372 Y
0.2502 0.2503 0.5006 Mo
0.7497 0.7497 0.4993 Mo
0.5003 0.0003 0.0006 Mo
0.9997 0.4997 0.9994 Mo
0.4482 0.4480 0.8960 Mo
0.5521 0.5519 0.1041 Mo
0.6979 0.1981 0.3959 Mo
0.8018 0.3020 0.6040 Mo


8.
PBE Li3TlRh2O6, optimized geometry; raw formation energy = -1.178 eV per atom
1.0
5.5873 -0.0544 0.0767
-2.8394 4.8123 0.0767
-0.8492 -1.4705 4.8294
Li Tl Rh O
3 1 2 6
Direct
0.1943 0.8057 0.5000 Li
0.8057 0.1943 0.5000 Li
0.5000 0.5000 0.5000 Li
0.0000 0.0000 0.0000 Tl
0.3341 0.6659 0.0000 Rh
0.6659 0.3341 0.0000 Rh
0.9374 0.5740 0.7696 O
0.6994 0.6994 0.2294 O
0.0626 0.4260 0.2304 O
0.5740 0.9374 0.7696 O
0.3006 0.3006 0.7706 O
0.4260 0.0626 0.2304 O


9.
PBE Ce6HgTe5, optimized geometry; DOS at the Fermi energy = 43.43 states/eV per cell; raw formation energy = -1.161 eV per atom
1.0
7.6252 0.2037 1.1681
1.8916 6.5468 3.8159
0.1302 0.0812 7.7891
Te Hg Ce
5 1 6
Direct
0.5000 0.1690 0.6620 Te
0.0000 0.3343 0.3314 Te
0.5000 0.5000 0.0000 Te
0.0000 0.6657 0.6686 Te
0.5000 0.8310 0.3380 Te
0.0000 0.0000 0.0000 Hg
0.7521 0.0822 0.3319 Ce
0.2479 0.5859 0.3319 Ce
0.2520 0.2474 0.0000 Ce
0.7480 0.7526 0.0000 Ce
0.7521 0.4141 0.6681 Ce
0.2479 0.9178 0.6681 Ce


10.
PBE CaTbH, optimized geometry; DOS at the Fermi energy = 2.97 states/eV per cell; ΔE to the lowest computed polymorph = 107 meV/atom
1.0
-3.2148 1.6411 -0.5803
1.0904 -2.7121 -2.1955
-2.6484 -3.9345 3.5450
H Ca Tb
1 1 1
Direct
0.6667 0.3333 0.3555 H
0.0000 0.0000 0.0785 Ca
0.3333 0.6667 0.5659 Tb


11.
PBE Tb4TeRh2, optimized geometry; DOS at the Fermi energy = 7.58 states/eV per cell; ΔE to the lowest computed polymorph = 0 meV/atom; raw formation energy = -0.844 eV per atom
1.0
-2.1759 -2.5322 2.3281
6.7148 -2.1642 0.3638
2.0566 8.2043 10.8459
Tb Te Rh
8 2 4
Direct
0.7640 0.5279 0.1095 Tb
0.7640 0.5279 0.3905 Tb
0.2360 0.4721 0.8905 Tb
0.2360 0.4721 0.6095 Tb
0.9343 0.8685 0.7500 Tb
0.0657 0.1315 0.2500 Tb
0.5000 0.0000 0.0000 Tb
0.5000 0.0000 0.5000 Tb
0.6117 0.2235 0.7500 Te
0.3883 0.7765 0.2500 Te
0.1288 0.2576 0.4379 Rh
0.8712 0.7424 0.9379 Rh
0.1288 0.2576 0.0621 Rh
0.8712 0.7424 0.5621 Rh


12.
PBE HoCdTe3, optimized geometry; DOS at the Fermi energy = 3.84 states/eV per cell; raw formation energy = -0.729 eV per atom
1.0
4.5107 0.0000 0.0000
0.0000 6.4917 -0.2760
0.0000 -3.3217 12.5437
Ho Cd Te
2 2 6
Direct
0.2500 0.1686 0.1614 Ho
0.7500 0.8314 0.8386 Ho
0.2500 0.1050 0.6190 Cd
0.7500 0.8950 0.3810 Cd
0.2500 0.1638 0.9226 Te
0.7500 0.8362 0.0774 Te
0.2500 0.1734 0.3983 Te
0.7500 0.8266 0.6017 Te
0.2500 0.5007 0.7856 Te
0.7500 0.4993 0.2144 Te


13.
PBE Ge2MoRu, optimized geometry; DOS at the Fermi energy = 4.51 states/eV per cell; ΔE to the lowest computed polymorph = 57 meV/atom; energy relative to the elements = -11 meV per atom
1.0
0.0000 3.0890 3.0890
3.0890 0.0000 3.0890
3.0890 3.0890 0.0000
Ru Mo Ge
1 1 2
Direct
0.5000 0.5000 0.5000 Ru
0.0000 0.0000 0.0000 Mo
0.2500 0.2500 0.2500 Ge
0.7500 0.7500 0.7500 Ge


14.
PBE Si3PPt, optimized geometry; DOS at the Fermi energy = 2.20 states/eV per cell; ΔE to the lowest computed polymorph = 509 meV/atom; raw formation energy = 0.635 eV per atom
1.0
4.6715 0.0000 0.0000
0.0000 4.6715 0.0000
0.0000 0.0000 4.6715
P Si Pt
1 3 1
Direct
0.5000 0.5000 0.5000 P
0.0000 0.5000 0.0000 Si
0.0000 0.0000 0.5000 Si
0.5000 0.0000 0.0000 Si
0.0000 0.0000 0.0000 Pt


15.
PBE LiHfIr2, optimized geometry; DOS at the Fermi energy = 5.12 states/eV per cell; ΔE to the lowest computed polymorph = 569 meV/atom; energy relative to the elements = -110 meV per atom
1.0
-5.8912 -0.8610 3.4024
-1.8182 -4.9375 -4.3977
-2.6515 -4.7751 1.1110
Ir Hf Li
4 2 2
Direct
0.6027 0.1250 0.2500 Ir
0.1473 0.6250 0.2500 Ir
0.3750 0.3973 0.7500 Ir
0.8750 0.8527 0.7500 Ir
0.0000 0.0000 0.0000 Hf
0.7500 0.2500 0.5000 Hf
0.5000 0.5000 0.0000 Li
0.2500 0.7500 0.5000 Li


16.
PBE Ba3TaIn, optimized geometry; DOS at the Fermi energy = 7.36 states/eV per cell; ΔE to the lowest computed polymorph = 0 meV/atom; energy relative to the elements = 798 meV per atom
1.0
-2.7840 4.7364 -2.7223
-5.4440 -2.1508 1.8254
0.4552 3.2459 5.1819
In Ba Ta
1 3 1
Direct
0.5000 0.5000 0.5000 In
0.0000 0.5000 0.0000 Ba
0.0000 0.0000 0.5000 Ba
0.5000 0.0000 0.0000 Ba
0.0000 0.0000 0.0000 Ta


17.
PBE LiTm2InO, optimized geometry; DOS at the Fermi energy = 1.35 states/eV per cell; raw formation energy = -1.430 eV per atom
1.0
-0.0381 4.1924 0.8076
0.4729 -0.8804 4.5924
4.6758 0.1305 -0.4565
Li Tm In O
1 2 1 1
Direct
0.5000 0.0000 0.0000 Li
0.0000 0.0000 0.5000 Tm
0.0000 0.5000 0.0000 Tm
0.5000 0.5000 0.5000 In
0.0000 0.0000 0.0000 O


18.
PBE Ho2Er17, optimized geometry; DOS at the Fermi energy = 32.74 states/eV per cell; energy relative to the elements = 294 meV per atom
1.0
8.3649 -0.3594 2.0100
1.5007 8.2370 2.0100
-0.4501 -0.3594 8.5912
Ho Er
2 17
Direct
0.6778 0.6778 0.6778 Ho
0.3222 0.3222 0.3222 Ho
0.3698 0.3698 0.8519 Er
0.3698 0.8519 0.3698 Er
0.0973 0.0973 0.0973 Er
0.9027 0.9027 0.9027 Er
0.0000 0.0000 0.5000 Er
0.5000 0.0000 0.0000 Er
0.0000 0.5000 0.0000 Er
0.2999 0.7001 0.0000 Er
0.0000 0.2999 0.7001 Er
0.7001 0.0000 0.2999 Er
0.7001 0.2999 0.0000 Er
0.0000 0.7001 0.2999 Er
0.2999 0.0000 0.7001 Er
0.6302 0.1481 0.6302 Er
0.6302 0.6302 0.1481 Er
0.1481 0.6302 0.6302 Er
0.8519 0.3698 0.3698 Er


19.
PBE La2MgOsO, optimized geometry; DOS at the Fermi energy = 2.39 states/eV per cell; raw formation energy = -0.107 eV per atom
1.0
5.4016 0.0000 0.0000
0.0000 4.9406 0.0000
0.0000 0.0000 5.4016
Mg Os O La
1 1 1 2
Direct
0.0000 0.5000 0.0000 Mg
0.0000 0.0000 0.0000 Os
0.5000 0.5000 0.5000 O
0.0000 0.0000 0.5000 La
0.5000 0.0000 0.0000 La


20.
PBE CaSi2Tc, optimized geometry; DOS at the Fermi energy = 2.82 states/eV per cell; ΔE to the lowest computed polymorph = 441 meV/atom; raw formation energy = -0.015 eV per atom
1.0
0.0000 3.1824 3.1824
3.1824 0.0000 3.1824
3.1824 3.1824 0.0000
Ca Si Tc
1 2 1
Direct
0.0000 0.0000 0.0000 Ca
0.2500 0.2500 0.2500 Si
0.7500 0.7500 0.7500 Si
0.5000 0.5000 0.5000 Tc


21.
PBE La2Ge3SbRh4, optimized geometry; DOS at the Fermi energy = 4.69 states/eV per cell; raw formation energy = -0.878 eV per atom
1.0
-1.6781 -0.6644 -3.9520
-0.6855 -4.1737 0.9927
-9.4703 2.4154 3.6153
La Ge Sb Rh
2 3 1 4
Direct
0.5000 0.0000 0.2483 La
0.0000 0.5000 0.7517 La
0.0000 0.0000 0.5000 Ge
0.5000 0.0000 0.8758 Ge
0.0000 0.5000 0.1242 Ge
0.5000 0.5000 0.5000 Sb
0.5000 0.5000 0.0000 Rh
0.0000 0.0000 0.0000 Rh
0.5000 0.0000 0.6381 Rh
0.0000 0.5000 0.3619 Rh


22.
PBE MgOs3F, optimized geometry; DOS at the Fermi energy = 7.64 states/eV per cell; ΔE to the lowest computed polymorph = 0 meV/atom; raw formation energy = 1.463 eV per atom
1.0
4.2504 0.0000 0.0000
0.0000 4.2504 0.0000
0.0000 0.0000 4.2504
Mg Os F
1 3 1
Direct
0.5000 0.5000 0.5000 Mg
0.0000 0.5000 0.0000 Os
0.0000 0.0000 0.5000 Os
0.5000 0.0000 0.0000 Os
0.0000 0.0000 0.0000 F


23.
PBE PmNd8Rh2, optimized geometry; DOS at the Fermi energy = 15.27 states/eV per cell; energy relative to the elements = -187 meV per atom
1.0
5.7686 0.0178 0.0268
-0.9264 8.2078 -0.2689
-0.9264 -3.4093 7.4711
Pm Nd Rh
1 8 2
Direct
0.5000 0.0000 0.0000 Pm
0.9274 0.9221 0.6673 Nd
0.9274 0.6673 0.9221 Nd
0.2971 0.5988 0.5988 Nd
0.5000 0.7441 0.2559 Nd
0.5000 0.2559 0.7441 Nd
0.7029 0.4012 0.4012 Nd
0.0726 0.3327 0.0779 Nd
0.0726 0.0779 0.3327 Nd
0.0000 0.2985 0.7015 Rh
0.0000 0.7015 0.2985 Rh


24.
PBE Na4Y3TcO8, optimized geometry; DOS at the Fermi energy = 5.55 states/eV per cell; raw formation energy = -2.346 eV per atom
1.0
6.6738 0.0000 0.0000
0.0000 6.7843 0.0712
-3.3369 -3.3326 4.7222
Na Y Tc O
4 3 1 8
Direct
0.5000 0.0000 0.0000 Na
0.5000 0.0000 0.5000 Na
0.0000 0.0000 0.0000 Na
0.0000 0.0000 0.5000 Na
0.5000 0.5000 0.0000 Y
0.5000 0.5000 0.5000 Y
0.0000 0.5000 0.5000 Y
0.0000 0.5000 0.0000 Tc
0.2314 0.7144 0.9830 O
0.2314 0.7143 0.4628 O
0.2623 0.2869 0.5246 O
0.7515 0.7144 0.9830 O
0.2485 0.2856 0.0170 O
0.7377 0.7131 0.4754 O
0.7686 0.2857 0.5372 O
0.7686 0.2856 0.0170 O